# 1
VASP calculation (PBE) on a geometry-optimized RbBeHg2 structure.

Cell: 6.3221 6.3221 8.3618 Å, 67.79 67.79 90.00°
Atoms (fractional coordinates):
Be 0.2500 0.7500 0.5000
Hg 0.8750 0.6227 0.7500
Be 0.5000 0.5000 0.0000
Hg 0.3727 0.1250 0.2500
Rb 0.0000 0.0000 0.0000
Hg 0.3750 0.6273 0.7500
Hg 0.3773 0.6250 0.2500
Rb 0.7500 0.2500 0.5000

Calculated values
ΔH_f (0 K)   0.1333 eV/atom
N(E_F)   4.963 states/eV per cell
Uncorrected energy   -1.19 eV/atom



# 2
VASP calculation (PBE) on a geometry-optimized La2MgInNi structure.

Cell: 5.3348 5.3348 5.0001 Å, 90.00 90.00 90.00°
Atoms (fractional coordinates):
Ni 0.0000 0.0000 0.0000
La 0.0000 0.5000 0.0000
Mg 0.0000 0.0000 0.5000
In 0.5000 0.5000 0.5000
La 0.5000 0.0000 0.0000

Calculated values
ΔH_f (0 K)   -0.2894 eV/atom
N(E_F)   4.578 states/eV per cell
Energy above the lowest structure with this stoichiometry   0.0 meV/atom
Uncorrected energy   -4.28 eV/atom



# 3
VASP calculation (PBE) on a geometry-optimized SrScTa structure.

Cell: 5.0683 5.0683 5.0683 Å, 60.00 60.00 60.00°
Atoms (fractional coordinates):
Ta 0.0000 0.0000 0.0000
Sc 0.5000 0.5000 0.5000
Sr 0.7500 0.7500 0.7500

Calculated values
ΔH_f (0 K)   1.8972 eV/atom
N(E_F)   2.319 states/eV per cell
Energy above the lowest structure with this stoichiometry   1376.4 meV/atom
Uncorrected energy   -4.72 eV/atom



# 4
VASP calculation (PBE) on a geometry-optimized Sr5SnAs6 structure.

Cell: 6.8312 9.9080 8.4251 Å, 53.98 69.49 53.43°
Atoms (fractional coordinates):
As 0.3768 0.5647 0.3610
As 0.3768 0.9257 0.6390
Sr 0.5000 0.8557 0.2885
As 0.6232 0.0743 0.3610
Sn 0.0000 0.0000 0.0000
As 0.6232 0.4353 0.6390
As 0.9263 0.7554 0.0000
Sr 0.0000 0.6676 0.6648
Sr 0.5000 0.5000 0.0000
As 0.0737 0.2446 0.0000
Sr 0.5000 0.1443 0.7115
Sr 0.0000 0.3324 0.3352

Calculated values
ΔH_f (0 K)   -0.7895 eV/atom
N(E_F)   4.253 states/eV per cell
Uncorrected energy   -4.15 eV/atom



# 5
VASP calculation (PBE) on a geometry-optimized CeGd2Si structure.

Cell: 5.1929 5.1929 5.1928 Å, 60.00 60.00 60.00°
Atoms (fractional coordinates):
Gd 0.2500 0.2500 0.2500
Si 0.0000 0.0000 0.0000
Gd 0.7500 0.7500 0.7500
Ce 0.5000 0.5000 0.5000

Calculated values
Formation energy (no corrections)   -19 kJ/mol of formula units
N(E_F)   8.309 states/eV per cell
Energy above the lowest structure with this stoichiometry   216.0 meV/atom
Uncorrected energy   -9.93 eV/atom



# 6
VASP calculation (PBE) on a geometry-optimized LiZr2Au structure.

Cell: 4.5293 3.0305 5.9758 Å, 71.02 90.00 90.00°
Atoms (fractional coordinates):
Li 0.5000 0.7500 0.7500
Au 0.5000 0.2500 0.2500
Zr 0.0000 0.5534 0.4999
Zr 0.0000 0.9466 0.0001

Calculated values
ΔH_f (0 K)   -0.1147 eV/atom
N(E_F)   3.298 states/eV per cell
Uncorrected energy   -5.69 eV/atom



# 7
VASP calculation (PBE) on a geometry-optimized La3Zn2Pb structure.

Cell: 5.4262 5.4262 13.5292 Å, 90.00 90.00 120.00°
Atoms (fractional coordinates):
La 0.3333 0.6667 0.9274
La 0.0000 0.0000 0.7623
Zn 0.3333 0.6667 0.1589
Zn 0.6667 0.3333 0.8411
La 0.6667 0.3333 0.5843
La 0.6667 0.3333 0.0726
La 0.3333 0.6667 0.4157
Zn 0.0000 0.0000 0.5000
La 0.0000 0.0000 0.2377
Zn 0.0000 0.0000 0.0000
Pb 0.3333 0.6667 0.6710
Pb 0.6667 0.3333 0.3290

Calculated values
ΔH_f (0 K)   -0.3959 eV/atom
N(E_F)   13.864 states/eV per cell
Uncorrected energy   -3.90 eV/atom



# 8
VASP calculation (PBE) on a geometry-optimized HfCdRh2 structure.

Cell: 3.2790 3.2790 6.3503 Å, 90.00 90.00 90.00°
Atoms (fractional coordinates):
Rh 0.0000 0.0000 0.2361
Cd 0.5000 0.5000 0.5000
Rh 0.0000 0.0000 0.7639
Hf 0.5000 0.5000 0.0000

Calculated values
ΔH_f (0 K)   -0.6919 eV/atom
N(E_F)   2.366 states/eV per cell
Uncorrected energy   -7.08 eV/atom



# 9
VASP calculation (PBE) on a geometry-optimized Li2Ag2Pd structure.

Cell: 7.2664 7.2664 3.0369 Å, 90.00 90.00 90.00°
Atoms (fractional coordinates):
Li 0.3333 0.1667 0.5000
Ag 0.3645 0.8645 0.0000
Li 0.1667 0.6667 0.5000
Pd 0.0000 0.0000 0.0000
Li 0.8333 0.3333 0.5000
Ag 0.6355 0.1355 0.0000
Pd 0.5000 0.5000 0.0000
Ag 0.1355 0.3645 0.0000
Ag 0.8645 0.6355 0.0000
Li 0.6667 0.8333 0.5000

Calculated values
ΔH_f (0 K)   -0.1310 eV/atom
N(E_F)   3.671 states/eV per cell
Energy above the lowest structure with this stoichiometry   119.8 meV/atom
Uncorrected energy   -3.08 eV/atom



# 10
VASP calculation (PBE) on a geometry-optimized KIrW3 structure.

Cell: 4.9030 4.9030 4.9030 Å, 90.00 90.00 90.00°
Atoms (fractional coordinates):
W 0.5000 0.0000 0.0000
W 0.0000 0.0000 0.5000
Ir 0.0000 0.0000 0.0000
K 0.5000 0.5000 0.5000
W 0.0000 0.5000 0.0000

Calculated values
ΔH_f (0 K)   2.0463 eV/atom
N(E_F)   7.251 states/eV per cell
Energy above the lowest structure with this stoichiometry   0.0 meV/atom
Uncorrected energy   -7.72 eV/atom



# 11
VASP calculation (PBE) on a geometry-optimized PmNd2Tc structure.

Cell: 4.9002 4.9002 5.9487 Å, 65.68 65.68 60.00°
Atoms (fractional coordinates):
Nd 0.2686 0.2686 0.1941
Nd 0.7314 0.7314 0.8059
Pm 0.5000 0.5000 0.5000
Tc 0.0000 0.0000 0.0000

Calculated values
ΔH_f (0 K)   0.2755 eV/atom
N(E_F)   3.853 states/eV per cell
Energy above the lowest structure with this stoichiometry   258.7 meV/atom
Uncorrected energy   -5.89 eV/atom



# 12
VASP calculation (PBE) on a geometry-optimized Hf2Zn4Au structure.

Cell: 4.8075 4.8075 7.6062 Å, 71.58 71.58 90.00°
Atoms (fractional coordinates):
Zn 0.0000 0.5000 0.0000
Hf 0.6093 0.6093 0.7814
Zn 0.8107 0.8107 0.3787
Zn 0.1893 0.1893 0.6213
Zn 0.5000 0.0000 0.0000
Hf 0.3907 0.3907 0.2186
Au 0.0000 0.0000 0.0000

Calculated values
ΔH_f (0 K)   0.4718 eV/atom
N(E_F)   4.505 states/eV per cell
Energy above the lowest structure with this stoichiometry   465.7 meV/atom
Uncorrected energy   -3.57 eV/atom